Entry 1:
A plane-wave DFT calculation with PBE was carried out for Tb2PrHoTh after structural relaxation.

```
data_Tb2PrHoTh
_chemical_formula_sum 'Tb4 Pr2 Ho2 Th2'
_cell_length_a 8.600
_cell_length_b 6.450
_cell_length_c 6.358
_cell_angle_alpha 90.00
_cell_angle_beta 99.39
_cell_angle_gamma 90.00
_space_group_name_H-M_alt 'P 1 2/c 1'
_space_group_IT_number 13
loop_
_space_group_symop_operation_xyz
'x,y,z'
'-x,-y,-z'
'-x,y,-z+1/2'
'x,-y,z+1/2'
loop_
_atom_site_label
_atom_site_fract_x
_atom_site_fract_y
_atom_site_fract_z
Tb1 0.184 0.184 0.300
Pr1 0.500 0.500 0.000
Ho1 0.000 0.328 0.750
Th1 0.500 0.048 0.750
```

Properties
- Size of the total moment: 0.000 μB/atom
- ΔE_f: 0.331 eV/atom
- Uncorrected energy: -0.1792 hartree per atom
- Calculated volume: 347.9 Å³ per cell

Entry 2:
A plane-wave DFT calculation with PBE was carried out for Tb4PrHo2Th after structural relaxation.

```
data_Tb4PrHo2Th
_chemical_formula_sum 'Tb4 Pr1 Ho2 Th1'
_cell_length_a 5.056
_cell_length_b 5.069
_cell_length_c 10.093
_cell_angle_alpha 90.00
_cell_angle_beta 90.00
_cell_angle_gamma 90.00
_space_group_name_H-M_alt 'P m m m'
_space_group_IT_number 47
loop_
_space_group_symop_operation_xyz
'x,y,z'
'-x,-y,-z'
'-x,-y,z'
'x,y,-z'
'x,-y,-z'
'-x,y,z'
'-x,y,-z'
'x,-y,z'
loop_
_atom_site_label
_atom_site_fract_x
_atom_site_fract_y
_atom_site_fract_z
Tb1 0.000 0.000 0.245
Tb2 0.500 0.500 0.246
Pr1 0.500 0.000 0.500
Ho1 0.000 0.500 0.500
Ho2 0.500 0.000 0.000
Th1 0.000 0.500 0.000
```

Properties
- Size of the total moment: 0.000 μB/atom
- ΔE_f: 0.032 eV/atom
- Uncorrected energy: -0.1820 hartree per atom
- Calculated volume: 258.7 Å³ per cell

Entry 3:
A plane-wave DFT calculation with PBE was carried out for TbPr2Ho5Th after structural relaxation.

```
data_TbPr2Ho5Th
_chemical_formula_sum 'Tb4 Pr8 Ho20 Th4'
_cell_length_a 5.622
_cell_length_b 19.902
_cell_length_c 10.808
_cell_angle_alpha 90.00
_cell_angle_beta 90.00
_cell_angle_gamma 90.00
_space_group_name_H-M_alt 'C m c 21'
_space_group_IT_number 36
loop_
_space_group_symop_operation_xyz
'x,y,z'
'-x,-y,z+1/2'
'-x,y,z'
'x,-y,z+1/2'
'x+1/2,y+1/2,z'
'-x+1/2,-y+1/2,z+1/2'
'-x+1/2,y+1/2,z'
'x+1/2,-y+1/2,z+1/2'
loop_
_atom_site_label
_atom_site_fract_x
_atom_site_fract_y
_atom_site_fract_z
Tb1 0.000 0.201 0.000
Pr1 0.000 0.115 0.309
Pr2 0.000 0.115 0.725
Ho1 0.000 0.015 0.018
Ho2 0.000 0.281 0.303
Ho3 0.000 0.300 0.699
Ho4 0.000 0.392 0.013
Ho5 0.000 0.479 0.728
Th1 0.000 0.417 0.449
```

Properties
- Size of the total moment: 0.000 μB/atom
- ΔE_f: 0.168 eV/atom
- Uncorrected energy: -0.1755 hartree per atom
- Calculated volume: 1209.3 Å³ per cell

Entry 4:
A plane-wave DFT calculation with PBE was carried out for TbPrHoTh after structural relaxation.

```
data_TbPrHoTh
_chemical_formula_sum 'Tb4 Pr4 Ho4 Th4'
_cell_length_a 8.079
_cell_length_b 8.079
_cell_length_c 8.079
_cell_angle_alpha 90.00
_cell_angle_beta 90.00
_cell_angle_gamma 90.00
_space_group_name_H-M_alt 'F -4 3 m'
_space_group_IT_number 216
_space_group_name_Hall 'F -4 2 3'
loop_
_atom_site_label
_atom_site_fract_x
_atom_site_fract_y
_atom_site_fract_z
Tb1 0.000 0.000 0.000
Pr1 0.250 0.250 0.750
Ho1 0.000 0.000 0.500
Th1 0.250 0.250 0.250
```

Properties
- E above lowest polymorph: 129 meV/atom
- Size of the total moment: 0.000 μB/atom
- ΔE_f: 0.144 eV/atom
- Uncorrected energy: -0.1914 hartree per atom
- Calculated volume: 527.3 Å³ per cell

Entry 5:
A plane-wave DFT calculation with PBE was carried out for TbPrHo2Tl4 after structural relaxation.

```
data_TbPrHo2Tl4
_chemical_formula_sum 'Tb3 Pr3 Ho6 Tl12'
_cell_length_a 5.4102
_cell_length_b 5.4102
_cell_length_c 26.5825
_cell_angle_alpha 90.00
_cell_angle_beta 90.00
_cell_angle_gamma 120.00
_space_group_name_H-M_alt 'R -3 m'
_space_group_IT_number 166
_space_group_name_Hall '-R 3 2"'
loop_
_atom_site_label
_atom_site_fract_x
_atom_site_fract_y
_atom_site_fract_z
Tb1 0.0000 0.0000 0.0000
Pr1 0.0000 0.0000 0.5000
Ho1 0.0000 0.0000 0.2505
Tl1 0.0000 0.0000 0.1233
Tl2 0.0000 0.0000 0.3734
```

Properties
- Size of the total moment: 0.000 μB/atom
- ΔE_f: -0.345 eV/atom
- Uncorrected energy: -0.1414 hartree per atom
- Calculated volume: 673.8 Å³ per cell

Entry 6:
A plane-wave DFT calculation with PBE was carried out for TbPrHoTl after structural relaxation.

```
data_TbPrHoTl
_chemical_formula_sum 'Tb4 Pr4 Ho4 Tl4'
_cell_length_a 7.843
_cell_length_b 7.843
_cell_length_c 7.843
_cell_angle_alpha 90.00
_cell_angle_beta 90.00
_cell_angle_gamma 90.00
_space_group_name_H-M_alt 'F -4 3 m'
_space_group_IT_number 216
_space_group_name_Hall 'F -4 2 3'
loop_
_atom_site_label
_atom_site_fract_x
_atom_site_fract_y
_atom_site_fract_z
Tb1 0.000 0.000 0.000
Pr1 0.000 0.000 0.500
Ho1 0.250 0.250 0.750
Tl1 0.250 0.250 0.250
```

Properties
- E above lowest polymorph: 131 meV/atom
- Size of the total moment: 0.314 μB/atom
- ΔE_f: -0.053 eV/atom
- Uncorrected energy: -0.1522 hartree per atom
- Calculated volume: 482.4 Å³ per cell

Entry 7:
A plane-wave DFT calculation with PBE was carried out for Tb6Pr2Ho3Tl after structural relaxation.

```
data_Tb6Pr2Ho3Tl
_chemical_formula_sum 'Tb12 Pr4 Ho6 Tl2'
_cell_length_a 6.121
_cell_length_b 10.610
_cell_length_c 11.787
_cell_angle_alpha 90.00
_cell_angle_beta 100.03
_cell_angle_gamma 90.00
_space_group_name_H-M_alt 'C 1 2/m 1'
_space_group_IT_number 12
loop_
_space_group_symop_operation_xyz
'x,y,z'
'-x,-y,-z'
'-x,y,-z'
'x,-y,z'
'x+1/2,y+1/2,z'
'-x+1/2,-y+1/2,-z'
'-x+1/2,y+1/2,-z'
'x+1/2,-y+1/2,z'
loop_
_atom_site_label
_atom_site_fract_x
_atom_site_fract_y
_atom_site_fract_z
Tb1 0.244 0.000 0.247
Tb2 0.247 0.164 0.752
Pr1 0.000 0.334 0.500
Ho1 0.000 0.167 0.000
Ho2 0.000 0.500 0.000
Tl1 0.000 0.000 0.500
```

Properties
- Size of the total moment: 0.000 μB/atom
- ΔE_f: -0.031 eV/atom
- Uncorrected energy: -0.1648 hartree per atom
- Calculated volume: 753.7 Å³ per cell

Entry 8:
A plane-wave DFT calculation with PBE was carried out for Tb6Pr3Ho2Tl after structural relaxation.

```
data_Tb6Pr3Ho2Tl
_chemical_formula_sum 'Tb12 Pr6 Ho4 Tl2'
_cell_length_a 6.193
_cell_length_b 10.736
_cell_length_c 11.723
_cell_angle_alpha 90.00
_cell_angle_beta 100.23
_cell_angle_gamma 90.00
_space_group_name_H-M_alt 'C 1 2/m 1'
_space_group_IT_number 12
loop_
_space_group_symop_operation_xyz
'x,y,z'
'-x,-y,-z'
'-x,y,-z'
'x,-y,z'
'x+1/2,y+1/2,z'
'-x+1/2,-y+1/2,-z'
'-x+1/2,y+1/2,-z'
'x+1/2,-y+1/2,z'
loop_
_atom_site_label
_atom_site_fract_x
_atom_site_fract_y
_atom_site_fract_z
Tb1 0.244 0.164 0.242
Tb2 0.248 0.000 0.756
Pr1 0.000 0.167 0.500
Pr2 0.000 0.500 0.500
Ho1 0.000 0.334 0.000
Tl1 0.000 0.000 0.000
```

Properties
- Size of the total moment: 0.001 μB/atom
- ΔE_f: -0.009 eV/atom
- Uncorrected energy: -0.1646 hartree per atom
- Calculated volume: 767.0 Å³ per cell